! Sc4Tl3Fe, optimized geometry, DFT PBE; values from VASP
! Formation energy from the elements: -0.234 eV/atom
&SYSTEM
  ibrav = 0, nat = 8, ntyp = 3
/
ATOMIC_SPECIES
Sc 44.96 Sc.upf
Tl 204.38 Tl.upf
Fe 55.84 Fe.upf
ATOMIC_POSITIONS angstrom
Sc 0.0000 0.0000 1.4610
Sc 0.0000 0.0000 5.5779
Sc 0.0000 0.0000 9.7285
Sc 0.0000 0.0000 13.8454
Tl 1.6721 1.6721 3.5385
Tl 1.6721 1.6721 7.6532
Tl 1.6721 1.6721 11.7679
Fe 1.6721 1.6721 0.0000
CELL_PARAMETERS angstrom
3.3443 0.0000 0.0000
0.0000 3.3443 0.0000
0.0000 0.0000 15.3063

***

! Sc8Tl2Fe, optimized geometry, DFT PBE; values from VASP
! Formation energy from the elements: -0.172 eV/atom
&SYSTEM
  ibrav = 0, nat = 11, ntyp = 3
/
ATOMIC_SPECIES
Sc 44.96 Sc.upf
Tl 204.38 Tl.upf
Fe 55.84 Fe.upf
ATOMIC_POSITIONS angstrom
Sc -0.6512 0.0000 1.5657
Sc 1.2108 0.0000 4.1707
Sc 4.3887 0.0000 3.7306
Sc 5.8433 0.0000 0.6939
Sc 7.6112 0.0000 5.2670
Sc 9.0658 0.0000 2.2303
Sc 12.2437 0.0000 1.7902
Sc 14.1057 0.0000 4.3952
Tl 2.4880 0.0000 1.1102
Tl 10.9665 0.0000 4.8506
Fe 6.7273 0.0000 2.9804
CELL_PARAMETERS angstrom
8.0303 -2.5567 0.0000
8.0303 2.5567 0.0000
-2.6060 0.0000 5.9609

***

! ScTlFe2, optimized geometry, DFT PBE; values from VASP
! Formation energy from the elements: 0.505 eV/atom
&SYSTEM
  ibrav = 0, nat = 4, ntyp = 3
/
ATOMIC_SPECIES
Sc 44.96 Sc.upf
Tl 204.38 Tl.upf
Fe 55.84 Fe.upf
ATOMIC_POSITIONS angstrom
Sc 0.0000 0.0000 0.0000
Tl 0.0000 0.0000 13.1793
Fe 0.0000 0.0000 6.6361
Fe 0.0000 0.0000 19.7226
CELL_PARAMETERS angstrom
1.5315 0.8842 8.7862
-1.5315 0.8842 8.7862
0.0000 -1.7684 8.7862

***

! ScTl4Fe, optimized geometry, DFT PBE; values from VASP
! Formation energy from the elements: 0.649 eV/atom
&SYSTEM
  ibrav = 0, nat = 6, ntyp = 3
/
ATOMIC_SPECIES
Sc 44.96 Sc.upf
Tl 204.38 Tl.upf
Fe 55.84 Fe.upf
ATOMIC_POSITIONS angstrom
Sc 0.0000 0.0000 0.0000
Tl 5.4020 3.2434 3.2434
Tl 3.2434 5.4020 3.2434
Tl 3.2434 3.2434 5.4020
Tl 5.4020 5.4020 5.4020
Fe 2.1614 2.1614 2.1614
CELL_PARAMETERS angstrom
0.0000 4.3227 4.3227
4.3227 0.0000 4.3227
4.3227 4.3227 0.0000

***

! ScTlFe2, optimized geometry, DFT PBE; values from VASP
! Formation energy from the elements: 0.207 eV/atom
&SYSTEM
  ibrav = 0, nat = 4, ntyp = 3
/
ATOMIC_SPECIES
Sc 44.96 Sc.upf
Tl 204.38 Tl.upf
Fe 55.84 Fe.upf
ATOMIC_POSITIONS angstrom
Sc 0.0000 0.0000 0.0000
Tl 1.6133 1.6133 1.6133
Fe 3.2267 3.2267 3.2267
Fe 4.8400 4.8400 4.8400
CELL_PARAMETERS angstrom
0.0000 3.2267 3.2267
3.2267 0.0000 3.2267
3.2267 3.2267 0.0000

***

! Sc4TlFe, optimized geometry, DFT PBE; values from VASP
! Formation energy from the elements: 0.451 eV/atom
! Distance to the lowest polymorph of the same formula: 662 meV per atom
&SYSTEM
  ibrav = 0, nat = 6, ntyp = 3
/
ATOMIC_SPECIES
Sc 44.96 Sc.upf
Tl 204.38 Tl.upf
Fe 55.84 Fe.upf
ATOMIC_POSITIONS angstrom
Sc 1.0170 1.0170 1.0170
Sc 3.0379 3.0379 1.0170
Sc 3.0379 1.0170 3.0379
Sc 1.0170 3.0379 3.0379
Tl 6.0824 6.0824 6.0824
Fe 4.0549 4.0549 4.0549
CELL_PARAMETERS angstrom
0.0000 4.0549 4.0549
4.0549 0.0000 4.0549
4.0549 4.0549 0.0000

***

! ScTlFe2, optimized geometry, DFT PBE; values from VASP
! Formation energy from the elements: 0.286 eV/atom
&SYSTEM
  ibrav = 0, nat = 4, ntyp = 3
/
ATOMIC_SPECIES
Sc 44.96 Sc.upf
Tl 204.38 Tl.upf
Fe 55.84 Fe.upf
ATOMIC_POSITIONS angstrom
Sc 0.0000 0.0000 0.0000
Tl 0.9693 0.0000 2.8182
Fe 0.1696 2.1425 4.5001
Fe 1.7690 2.1425 1.1364
CELL_PARAMETERS angstrom
2.9665 0.0000 0.0000
0.0000 4.2849 0.0000
-1.0279 0.0000 5.6365

***

! ScTlFe2, optimized geometry, DFT PBE; values from VASP
! Formation energy from the elements: 0.578 eV/atom
&SYSTEM
  ibrav = 0, nat = 8, ntyp = 3
/
ATOMIC_SPECIES
Sc 44.96 Sc.upf
Tl 204.38 Tl.upf
Fe 55.84 Fe.upf
ATOMIC_POSITIONS angstrom
Sc 0.0000 0.0000 0.0000
Sc 0.0000 1.9960 4.7324
Tl 1.9960 0.0000 4.7324
Tl 0.0000 0.0000 9.4648
Fe 2.9940 0.8808 -2.3662
Fe 0.8808 0.9980 2.3662
Fe -0.9980 1.1152 7.0986
Fe 1.1152 0.9980 11.8311
CELL_PARAMETERS angstrom
-1.9960 1.9960 9.4648
1.9960 -1.9960 9.4648
1.9960 1.9960 -9.4648

***

! ScTlFe2, optimized geometry, DFT PBE; values from VASP
! Formation energy from the elements: 0.231 eV/atom
&SYSTEM
  ibrav = 0, nat = 4, ntyp = 3
/
ATOMIC_SPECIES
Sc 44.96 Sc.upf
Tl 204.38 Tl.upf
Fe 55.84 Fe.upf
ATOMIC_POSITIONS angstrom
Sc 0.0000 0.0000 0.0000
Tl 0.0000 0.0000 3.8295
Fe 2.0928 0.0000 1.9148
Fe 0.0000 2.0928 1.9148
CELL_PARAMETERS angstrom
-2.0928 2.0928 3.8295
2.0928 -2.0928 3.8295
2.0928 2.0928 -3.8295

***

! ScTlFe2, optimized geometry, DFT PBE; values from VASP
! Formation energy from the elements: 0.189 eV/atom
&SYSTEM
  ibrav = 0, nat = 4, ntyp = 3
/
ATOMIC_SPECIES
Sc 44.96 Sc.upf
Tl 204.38 Tl.upf
Fe 55.84 Fe.upf
ATOMIC_POSITIONS angstrom
Sc 0.0000 0.0000 0.0000
Tl 2.0260 0.0000 2.0338
Fe 0.0000 0.0000 4.0676
Fe 0.0000 2.0260 2.0338
CELL_PARAMETERS angstrom
-2.0260 2.0260 4.0676
2.0260 -2.0260 4.0676
2.0260 2.0260 -4.0676

***

! ScTlFe2, optimized geometry, DFT PBE; values from VASP
! Formation energy from the elements: 0.310 eV/atom
&SYSTEM
  ibrav = 0, nat = 4, ntyp = 3
/
ATOMIC_SPECIES
Sc 44.96 Sc.upf
Tl 204.38 Tl.upf
Fe 55.84 Fe.upf
ATOMIC_POSITIONS angstrom
Sc 0.0000 0.0000 0.0000
Tl 0.0000 0.0000 5.7034
Fe 0.0000 0.0000 11.7657
Fe 0.0000 0.0000 18.5075
CELL_PARAMETERS angstrom
1.5904 0.9182 8.2853
-1.5904 0.9182 8.2853
0.0000 -1.8364 8.2853

***

! Sc4TlFe, optimized geometry, DFT PBE; values from VASP
! Formation energy from the elements: -0.211 eV/atom
! Distance to the lowest polymorph of the same formula: 0 meV per atom
&SYSTEM
  ibrav = 0, nat = 12, ntyp = 3
/
ATOMIC_SPECIES
Sc 44.96 Sc.upf
Tl 204.38 Tl.upf
Fe 55.84 Fe.upf
ATOMIC_POSITIONS angstrom
Sc 1.6772 4.1157 5.1027
Sc 1.2254 0.9184 3.3087
Sc 4.1036 4.1157 2.9412
Sc 2.0444 -0.9184 0.6274
Sc 4.5554 0.9184 4.7351
Sc 2.4962 -4.1157 2.4214
Sc 5.3744 -0.9184 2.0539
Sc 4.9226 -4.1157 0.2599
Tl 3.7094 1.5810 1.3406
Tl 2.8904 -1.5810 4.0219
Fe 2.8904 6.0534 4.0219
Fe 3.7094 -6.0534 1.3406
CELL_PARAMETERS angstrom
4.1189 -6.0676 0.0000
4.1189 6.0676 0.0000
-1.6380 0.0000 5.3626

***

! ScTlFe2, optimized geometry, DFT PBE; values from VASP
! Formation energy from the elements: 0.218 eV/atom
&SYSTEM
  ibrav = 0, nat = 4, ntyp = 3
/
ATOMIC_SPECIES
Sc 44.96 Sc.upf
Tl 204.38 Tl.upf
Fe 55.84 Fe.upf
ATOMIC_POSITIONS angstrom
Sc 0.0000 0.0000 0.0000
Tl 2.1338 2.1338 0.0000
Fe 0.0000 2.1338 1.8203
Fe 2.1338 0.0000 1.8203
CELL_PARAMETERS angstrom
4.2676 0.0000 0.0000
0.0000 4.2676 0.0000
0.0000 0.0000 3.6405

***

! Sc3TlFe, optimized geometry, DFT PBE; values from VASP
! Formation energy from the elements: 1.002 eV/atom
! Distance to the lowest polymorph of the same formula: 1036 meV per atom
&SYSTEM
  ibrav = 0, nat = 5, ntyp = 3
/
ATOMIC_SPECIES
Sc 44.96 Sc.upf
Tl 204.38 Tl.upf
Fe 55.84 Fe.upf
ATOMIC_POSITIONS angstrom
Sc 0.0000 0.0000 2.6650
Sc 0.0000 2.6650 0.0000
Sc 2.6650 0.0000 0.0000
Tl 0.0000 0.0000 0.0000
Fe 2.6650 2.6650 2.6650
CELL_PARAMETERS angstrom
5.3300 0.0000 0.0000
0.0000 5.3300 0.0000
0.0000 0.0000 5.3300